No. 1
VASP calculation (PBE-GGA) on crystalline AlSnMo4N2 at its relaxed geometry.

```
AlSnMo4N2
1.0
-0.474 -0.076 -3.139
-0.888 -2.461 1.799
-11.780 5.453 1.646
Mo N Sn Al
4 2 1 1
Direct
0.333 0.667 0.176
0.667 0.333 0.662
0.333 0.667 0.824
0.667 0.333 0.338
0.000 0.000 0.254
0.000 0.000 0.746
0.667 0.333 0.000
0.333 0.667 0.500
```

Output
- density (g cm⁻³) = 8.10
- magnetic moment (μB/f.u.) = 0.009
- total DFT energy (no corrections) (eV per atom) = -8.53


No. 2
VASP calculation (PBE-GGA) on crystalline CsTmGaTe3 at its relaxed geometry.

```
CsTmGaTe3
1.0
2.388 -8.311 0.000
2.388 8.311 0.000
0.000 0.000 11.647
Te Ga Tm Cs
6 2 2 2
Direct
0.382 0.618 0.052
0.618 0.382 0.948
0.382 0.618 0.448
0.941 0.059 0.750
0.618 0.382 0.552
0.059 0.941 0.250
0.475 0.525 0.250
0.525 0.475 0.750
0.000 0.000 0.500
0.000 0.000 0.000
0.250 0.750 0.750
0.750 0.250 0.250
```

Output
- density (g cm⁻³) = 5.42
- magnetic moment (μB/f.u.) = 0.003
- total DFT energy (no corrections) (eV per atom) = -3.91


No. 3
VASP calculation (PBE-GGA) on crystalline FeReAgBi at its relaxed geometry.

```
FeReAgBi
1.0
0.000 3.262 3.262
3.262 0.000 3.262
3.262 3.262 0.000
Bi Fe Ag Re
1 1 1 1
Direct
0.000 0.000 0.000
0.750 0.750 0.750
0.500 0.500 0.500
0.250 0.250 0.250
```

Output
- energy above the most stable polymorph in this dataset (kJ/mol of formula units) = 0
- density (g cm⁻³) = 13.37
- magnetic moment (μB/f.u.) = 2.768
- total DFT energy (no corrections) (eV per atom) = -5.98


Question: What is the magnetic moment in the second record?
Answer: 0.003 μB/f.u.


Question: Look up the total DFT energy (no corrections) of the second one.
Answer: -3.91 eV per atom


Question: Among the records above, which one has the highest magnetic moment?
Answer: FeReAgBi


Question: Which value of magnetic moment does entry 3 give?
Answer: 2.768 μB/f.u.